No. 1
# TaW2C

A relaxed structure of TaW2C (PBE-GGA, the Alexandria database).

The magnetic moment is 0.0 μB per formula unit. The energy of formation from the pure elements comes out at 0.24 eV/atom. The value obtained for the electronic total energy is -11.50 eV per atom. Its density of states at the Fermi level is 5.035 states/eV/cell.

The structure belongs to space group Cmm2 (No. 35); the cell edges are 3.161, 4.666 and 7.613 Å and the angles 90.00°, 90.00° and 90.00°. The distinct sites, in fractional coordinates, are Ta at (0.000, 0.000, 0.000), W at (0.000, 0.000, 0.605), W at (0.000, 0.500, 0.307) and C at (0.000, 0.500, 0.800).

No. 2
# TaW2C

A relaxed structure of TaW2C (PBE-GGA, the Alexandria database).

The magnetic moment is 0.0 μB per formula unit. The energy of formation from the pure elements comes out at 1.02 eV/atom. The value obtained for the electronic total energy is -10.73 eV per atom. Its density of states at the Fermi level is 2.326 states/eV/cell.

The structure belongs to space group P2/m (No. 10); the cell edges are 4.320, 3.118 and 4.427 Å and the angles 90.00°, 104.23° and 90.00°. The distinct sites, in fractional coordinates, are Ta at (0.000, 0.000, 0.000), W at (0.000, 0.500, 0.500), W at (0.500, 0.000, 0.500) and C at (0.500, 0.500, 0.000).

No. 3
# Ta2WC

A relaxed structure of Ta2WC (PBE-GGA, the Alexandria database).

The magnetic moment is 0.0 μB per formula unit. The energy of formation from the pure elements comes out at 1.32 eV/atom. The value obtained for the electronic total energy is -10.15 eV per atom. Its density of states at the Fermi level is 14.401 states/eV/cell.

The structure belongs to space group F-43m (No. 216); the cell edges are 6.209, 6.209 and 6.209 Å and the angles 90.00°, 90.00° and 90.00°. The distinct sites, in fractional coordinates, are Ta at (0.000, 0.000, 0.000), Ta at (0.250, 0.250, 0.250), W at (0.250, 0.250, 0.750) and C at (0.000, 0.000, 0.500).

No. 4
# TaW2C

A relaxed structure of TaW2C (PBE-GGA, the Alexandria database).

The magnetic moment is 0.0 μB per formula unit. The energy of formation from the pure elements comes out at 0.38 eV/atom. The value obtained for the electronic total energy is -11.36 eV per atom. Its density of states at the Fermi level is 2.012 states/eV/cell.

The structure belongs to space group P4mm (No. 99); the cell edges are 2.749, 2.749 and 7.368 Å and the angles 90.00°, 90.00° and 90.00°. The distinct sites, in fractional coordinates, are Ta at (0.000, 0.000, 0.000), W at (0.000, 0.000, 0.635), W at (0.500, 0.500, 0.321) and C at (0.500, 0.500, 0.794).